# LuVAs2

An optimized crystal structure of LuVAs2 (PBE-GGA, the Alexandria database).

Results
ρ = 7.2 Mg/m³
total magnetic moment = 0.53 μB per cell
formation energy from the elements = -0.18 eV per atom

a b c (Å): 9.2029 9.2029 9.2029
angles (deg): 20.81 20.81 20.81
Element x y z (fractional)
Lu 0.0000 0.0000 0.0000
V 0.5000 0.5000 0.5000
As 0.1053 0.1053 0.1053
As 0.8947 0.8947 0.8947

# NbZnNi14

An optimized crystal structure of NbZnNi14 (PBE-GGA, the Alexandria database).

Results
ρ = 8.9 Mg/m³
total magnetic moment = 5.83 μB per cell
formation energy from the elements = -0.08 eV per atom

a b c (Å): 5.0674 5.0674 7.1296
angles (deg): 90.00 90.00 90.00
Element x y z (fractional)
Nb 0.0000 0.0000 0.0000
Zn 0.5000 0.5000 0.0000
Ni 0.0000 0.0000 0.5000
Ni 0.0000 0.5000 0.0000
Ni 0.0000 0.5000 0.5000
Ni 0.2513 0.2513 0.2580
Ni 0.2513 0.2513 0.7420
Ni 0.2513 0.7487 0.2580
Ni 0.2513 0.7487 0.7420
Ni 0.5000 0.0000 0.0000
Ni 0.5000 0.0000 0.5000
Ni 0.5000 0.5000 0.5000
Ni 0.7487 0.2513 0.2580
Ni 0.7487 0.2513 0.7420
Ni 0.7487 0.7487 0.2580
Ni 0.7487 0.7487 0.7420

# PmTh2In

An optimized crystal structure of PmTh2In (PBE-GGA, the Alexandria database).

Results
ρ = 9.8 Mg/m³
total magnetic moment = 0.00 μB per cell
energy relative to the lowest polymorph listed for this composition = 0.2003 eV per atom
formation energy from the elements = 0.01 eV per atom

a b c (Å): 5.5681 5.5681 5.5681
angles (deg): 60.00 60.00 60.00
Element x y z (fractional)
Pm 0.0000 0.0000 0.0000
Th 0.2500 0.2500 0.2500
Th 0.7500 0.7500 0.7500
In 0.5000 0.5000 0.5000